Entry 1:
A geometry-optimized InSnBr structure. Source: Alexandria, functional GGA-PBE.

The space group is P-1 (No. 2) and the conventional cell measures 4.246, 4.246 and 12.586 Å, with angles of 89.83, 89.75 and 60.01 degrees. The asymmetric unit holds In at (0.003, 0.000, 0.273), Sn at (0.334, 0.333, 0.435) and Br at (0.329, 0.332, 0.863).

As for the uncorrected formation energy: -0.325 eV/atom. The calculation puts the density of states at the Fermi level at 3.3 states/eV/cell. Its total moment is 0.000 μB/cell. The value obtained for the total DFT energy (no corrections) is -3.1292 eV/atom. Its volume is 32.8 Å³ per atom.

---

Entry 2:
A geometry-optimized InSnBr3 structure. Source: Alexandria, functional GGA-PBE.

The space group is P1 (No. 1) and the conventional cell measures 4.360, 8.384 and 10.785 Å, with angles of 74.29, 89.95 and 89.99 degrees. The asymmetric unit holds In at (0.000, 0.000, 0.000), In at (0.496, 0.526, 0.329), Sn at (0.496, 0.945, 0.490), Sn at (0.996, 0.582, 0.839), Br at (0.497, 0.334, 0.879), Br at (0.497, 0.853, 0.802), Br at (0.498, 0.940, 0.227), Br at (0.994, 0.674, 0.527), Br at (0.995, 0.193, 0.450) and Br at (0.996, 0.586, 0.102).

As for the uncorrected formation energy: -0.721 eV/atom. The calculation puts the density of states at the Fermi level at 0.0 states/eV/cell. Its total moment is 0.000 μB/cell. The value obtained for the total DFT energy (no corrections) is -3.0731 eV/atom. Its volume is 37.9 Å³ per atom.

---

Entry 3:
A geometry-optimized InSnBr3 structure. Source: Alexandria, functional GGA-PBE.

The space group is Cm (No. 8) and the conventional cell measures 8.667, 8.144 and 5.946 Å, with angles of 90.00, 94.81 and 90.00 degrees. The asymmetric unit holds In at (0.000, 0.000, 0.000), Sn at (0.111, 0.500, 0.390), Br at (0.140, 0.500, 0.872) and Br at (0.386, 0.255, 0.360).

As for the uncorrected formation energy: -0.704 eV/atom. The calculation puts the density of states at the Fermi level at 0.0 states/eV/cell. Its total moment is 0.000 μB/cell. The value obtained for the total DFT energy (no corrections) is -3.0565 eV/atom. Its volume is 41.8 Å³ per atom.

---

Entry 4:
A geometry-optimized In3SnBr structure. Source: Alexandria, functional GGA-PBE.

The space group is Pm-3m (No. 221) and the conventional cell measures 5.798, 5.798 and 5.798 Å, with angles of 90.00, 90.00 and 90.00 degrees. The asymmetric unit holds In at (0.000, 0.000, 0.500), Sn at (0.500, 0.500, 0.500) and Br at (0.000, 0.000, 0.000).

As for the uncorrected formation energy: 0.354 eV/atom. The calculation puts the density of states at the Fermi level at 3.7 states/eV/cell. Its total moment is 0.000 μB/cell. The value obtained for the total DFT energy (no corrections) is -2.4239 eV/atom. Its volume is 39.0 Å³ per atom.

---

Entry 5:
A geometry-optimized In2SnBr4 structure. Source: Alexandria, functional GGA-PBE.

The space group is Pbca (No. 61) and the conventional cell measures 7.731, 8.474 and 16.623 Å, with angles of 90.00, 90.00 and 90.00 degrees. The asymmetric unit holds In at (0.009, 0.091, 0.149), Sn at (0.000, 0.000, 0.500), Br at (0.107, 0.035, 0.672) and Br at (0.185, 0.196, 0.963).

As for the uncorrected formation energy: -0.698 eV/atom. The calculation puts the density of states at the Fermi level at 0.0 states/eV/cell. Its total moment is 0.000 μB/cell. The value obtained for the total DFT energy (no corrections) is -3.0085 eV/atom. Its volume is 38.9 Å³ per atom.

---

Entry 6:
A geometry-optimized In2Sn2Br structure. Source: Alexandria, functional GGA-PBE.

The space group is I4/mmm (No. 139) and the conventional cell measures 4.939, 4.939 and 12.624 Å, with angles of 90.00, 90.00 and 90.00 degrees. The asymmetric unit holds In at (0.000, 0.500, 0.250), Sn at (0.000, 0.000, 0.114) and Br at (0.000, 0.000, 0.500).

As for the uncorrected formation energy: -0.028 eV/atom. The calculation puts the density of states at the Fermi level at 4.8 states/eV/cell. Its total moment is 0.000 μB/cell. The value obtained for the total DFT energy (no corrections) is -3.0592 eV/atom. Its volume is 30.8 Å³ per atom.

---

Entry 7:
A geometry-optimized In4Sn2Br9 structure. Source: Alexandria, functional GGA-PBE.

The space group is P-3 (No. 147) and the conventional cell measures 7.7136, 7.7136 and 22.3514 Å, with angles of 90.00, 90.00 and 120.00 degrees. The asymmetric unit holds In at (0.3333, 0.6667, 0.1709), In at (0.3333, 0.6667, 0.4836), In at (0.3333, 0.6667, 0.6846), In at (0.3333, 0.6667, 0.9829), Sn at (0.0000, 0.0000, 0.1620), Sn at (0.0000, 0.0000, 0.3470), Br at (0.0252, 0.3527, 0.0920), Br at (0.0375, 0.7079, 0.5864) and Br at (0.0479, 0.7246, 0.2469).

As for the uncorrected formation energy: -0.688 eV/atom. The calculation puts the density of states at the Fermi level at 10.0 states/eV/cell. Its total moment is 0.000 μB/cell. The value obtained for the total DFT energy (no corrections) is -2.9555 eV/atom. Its volume is 38.4 Å³ per atom.

---

Entry 8:
A geometry-optimized In2Sn2Br5 structure. Source: Alexandria, functional GGA-PBE.

The space group is Ima2 (No. 46) and the conventional cell measures 18.185, 8.963 and 7.498 Å, with angles of 90.00, 90.00 and 90.00 degrees. The asymmetric unit holds In at (0.099, 0.024, 0.000), Sn at (0.000, 0.000, 0.572), Sn at (0.250, 0.510, 0.757), Br at (0.036, 0.701, 0.781), Br at (0.152, 0.118, 0.541) and Br at (0.250, 0.712, 0.391).

As for the uncorrected formation energy: -0.552 eV/atom. The calculation puts the density of states at the Fermi level at 11.4 states/eV/cell. Its total moment is 0.000 μB/cell. The value obtained for the total DFT energy (no corrections) is -2.9796 eV/atom. Its volume is 33.9 Å³ per atom.

---

Entry 9:
A geometry-optimized In5SnBr8 structure. Source: Alexandria, functional GGA-PBE.

The space group is I-4 (No. 82) and the conventional cell measures 9.662, 9.662 and 9.662 Å, with angles of 90.00, 90.00 and 90.00 degrees. The asymmetric unit holds In at (0.000, 0.000, 0.000), In at (0.141, 0.742, 0.623), Sn at (0.000, 0.500, 0.250), Br at (0.063, 0.804, 0.310) and Br at (0.071, 0.675, 0.956).

As for the uncorrected formation energy: -0.625 eV/atom. The calculation puts the density of states at the Fermi level at 21.4 states/eV/cell. Its total moment is 0.000 μB/cell. The value obtained for the total DFT energy (no corrections) is -2.8451 eV/atom. Its volume is 32.2 Å³ per atom.

---

Entry 10:
A geometry-optimized In5Sn3Br12 structure. Source: Alexandria, functional GGA-PBE.

The space group is P-62m (No. 189) and the conventional cell measures 13.4517, 13.4517 and 4.4268 Å, with angles of 90.00, 90.00 and 120.00 degrees. The asymmetric unit holds In at (0.0000, 0.7053, 0.0000), In at (0.3333, 0.6667, 0.0000), Sn at (0.0000, 0.3226, 0.5000), Br at (0.0000, 0.1712, 0.0000), Br at (0.0000, 0.4723, 0.0000) and Br at (0.1944, 0.7419, 0.5000).

As for the uncorrected formation energy: -0.686 eV/atom. The calculation puts the density of states at the Fermi level at 12.5 states/eV/cell. Its total moment is 0.000 μB/cell. The value obtained for the total DFT energy (no corrections) is -2.9750 eV/atom. Its volume is 34.7 Å³ per atom.

---

Entry 11:
A geometry-optimized In2SnBr4 structure. Source: Alexandria, functional GGA-PBE.

The space group is I4/mmm (No. 139) and the conventional cell measures 5.875, 5.875 and 16.181 Å, with angles of 90.00, 90.00 and 90.00 degrees. The asymmetric unit holds In at (0.000, 0.000, 0.136), Sn at (0.000, 0.000, 0.500), Br at (0.000, 0.000, 0.318) and Br at (0.000, 0.500, 0.000).

As for the uncorrected formation energy: -0.651 eV/atom. Its total moment is 0.000 μB/cell. The value obtained for the total DFT energy (no corrections) is -2.9613 eV/atom. Its volume is 39.9 Å³ per atom.

---

Entry 12:
A geometry-optimized In2Sn5Br12 structure. Source: Alexandria, functional GGA-PBE.

The space group is C2/m (No. 12) and the conventional cell measures 16.344, 8.069 and 11.206 Å, with angles of 90.00, 106.41 and 90.00 degrees. The asymmetric unit holds In at (0.000, 0.203, 0.000), Sn at (0.000, 0.000, 0.500), Sn at (0.163, 0.500, 0.726), Sn at (0.191, 0.500, 0.323), Br at (0.012, 0.500, 0.206), Br at (0.045, 0.000, 0.770), Br at (0.137, 0.264, 0.522) and Br at (0.203, 0.243, 0.152).

As for the uncorrected formation energy: -0.693 eV/atom. The calculation puts the density of states at the Fermi level at 0.0 states/eV/cell. Its total moment is 0.000 μB/cell. The value obtained for the total DFT energy (no corrections) is -3.0910 eV/atom. Its volume is 37.3 Å³ per atom.

---

Entry 13:
A geometry-optimized InSnBr2 structure. Source: Alexandria, functional GGA-PBE.

The space group is Fm-3m (No. 225) and the conventional cell measures 7.757, 7.757 and 7.757 Å, with angles of 90.00, 90.00 and 90.00 degrees. The asymmetric unit holds In at (0.000, 0.000, 0.000), Sn at (0.000, 0.000, 0.500) and Br at (0.250, 0.250, 0.250).

As for the uncorrected formation energy: -0.305 eV/atom. The calculation puts the density of states at the Fermi level at 9.3 states/eV/cell. Its total moment is 0.000 μB/cell. The value obtained for the total DFT energy (no corrections) is -2.8264 eV/atom. Its volume is 29.2 Å³ per atom.

---

Entry 14:
A geometry-optimized InSnBr2 structure. Source: Alexandria, functional GGA-PBE.

The space group is R-3m (No. 166, hexagonal axes) and the conventional cell measures 3.8377, 3.8377 and 31.2984 Å, with angles of 90.00, 90.00 and 120.00 degrees. The asymmetric unit holds In at (0.0000, 0.0000, 0.0000), Sn at (0.0000, 0.0000, 0.5000) and Br at (0.0000, 0.0000, 0.0984).

As for the uncorrected formation energy: -0.341 eV/atom. The calculation puts the density of states at the Fermi level at 6.0 states/eV/cell. Its total moment is 0.000 μB/cell. The value obtained for the total DFT energy (no corrections) is -2.8623 eV/atom. Its volume is 33.3 Å³ per atom.

---

Entry 15:
A geometry-optimized InSnBr4 structure. Source: Alexandria, functional GGA-PBE.

The space group is C2/c (No. 15) and the conventional cell measures 9.989, 16.111 and 7.187 Å, with angles of 90.00, 133.27 and 90.00 degrees. The asymmetric unit holds In at (0.000, 0.071, 0.250), Sn at (0.000, 0.326, 0.750), Br at (0.163, 0.206, 0.163) and Br at (0.245, 0.048, 0.798).

As for the uncorrected formation energy: -0.659 eV/atom. The calculation puts the density of states at the Fermi level at 15.1 states/eV/cell. Its total moment is 0.000 μB/cell. The value obtained for the total DFT energy (no corrections) is -2.8982 eV/atom. Its volume is 35.1 Å³ per atom.

---

Entry 16:
A geometry-optimized InSnBr3 structure. Source: Alexandria, functional GGA-PBE.

The space group is P-1 (No. 2) and the conventional cell measures 4.405, 7.626 and 12.359 Å, with angles of 72.63, 79.74 and 73.22 degrees. The asymmetric unit holds In at (0.035, 0.297, 0.136), Sn at (0.243, 0.687, 0.331), Br at (0.137, 0.607, 0.618), Br at (0.370, 0.653, 0.108) and Br at (0.375, 0.018, 0.731).

As for the uncorrected formation energy: -0.719 eV/atom. The calculation puts the density of states at the Fermi level at 0.0 states/eV/cell. Its total moment is 0.000 μB/cell. The value obtained for the total DFT energy (no corrections) is -3.0708 eV/atom. Its volume is 37.7 Å³ per atom.

---

Entry 17:
A geometry-optimized InSn2Br structure. Source: Alexandria, functional GGA-PBE.

The space group is I-42d (No. 122) and the conventional cell measures 6.104, 6.104 and 16.437 Å, with angles of 90.00, 90.00 and 90.00 degrees. The asymmetric unit holds In at (0.000, 0.000, 0.000), Sn at (0.242, 0.250, 0.125) and Br at (0.000, 0.000, 0.500).

As for the uncorrected formation energy: 0.176 eV/atom. The calculation puts the density of states at the Fermi level at 0.5 states/eV/cell. Its total moment is 0.000 μB/cell. The value obtained for the total DFT energy (no corrections) is -2.9283 eV/atom. Its volume is 38.3 Å³ per atom.

---

Entry 18:
A geometry-optimized InSn4Br8 structure. Source: Alexandria, functional GGA-PBE.

The space group is F-43m (No. 216) and the conventional cell measures 13.022, 13.022 and 13.022 Å, with angles of 90.00, 90.00 and 90.00 degrees. The asymmetric unit holds In at (0.000, 0.000, 0.000), Sn at (0.122, 0.122, 0.378), Br at (0.110, 0.110, 0.610) and Br at (0.140, 0.140, 0.140).

As for the uncorrected formation energy: -0.611 eV/atom. The calculation puts the density of states at the Fermi level at 22.5 states/eV/cell. Its total moment is 0.000 μB/cell. The value obtained for the total DFT energy (no corrections) is -3.0823 eV/atom. Its volume is 42.5 Å³ per atom.

---

Entry 19:
A geometry-optimized SrIn2SnBr6 structure. Source: Alexandria, functional GGA-PBE.

The space group is R3 (No. 146, hexagonal axes) and the conventional cell measures 8.1094, 8.1094 and 20.6730 Å, with angles of 90.00, 90.00 and 120.00 degrees. The asymmetric unit holds Sr at (0.0000, 0.0000, 0.0000), In at (0.0000, 0.0000, 0.2926), In at (0.0000, 0.0000, 0.7924), Sn at (0.0000, 0.0000, 0.4989), Br at (0.0659, 0.3498, 0.5718) and Br at (0.0735, 0.7157, 0.0731).

As for the uncorrected formation energy: -1.113 eV/atom. The calculation puts the density of states at the Fermi level at 0.0 states/eV/cell. Its total moment is 0.000 μB/cell. The value obtained for the total DFT energy (no corrections) is -3.2333 eV/atom. Its volume is 39.3 Å³ per atom.

---

Entry 20:
A geometry-optimized TbInSn2Br8 structure. Source: Alexandria, functional GGA-PBE.

The space group is P-1 (No. 2) and the conventional cell measures 6.851, 7.232 and 9.088 Å, with angles of 89.85, 89.89 and 88.85 degrees. The asymmetric unit holds Tb at (0.000, 0.000, 0.000), In at (0.000, 0.000, 0.500), Sn at (0.500, 0.500, 0.252), Br at (0.239, 0.840, 0.221), Br at (0.239, 0.840, 0.779), Br at (0.241, 0.317, 0.999) and Br at (0.277, 0.361, 0.501).

As for the uncorrected formation energy: -1.094 eV/atom. The calculation puts the density of states at the Fermi level at 0.0 states/eV/cell. Its total moment is 0.000 μB/cell. The value obtained for the total DFT energy (no corrections) is -3.4902 eV/atom. Its volume is 37.5 Å³ per atom.

---

Entry 21:
A geometry-optimized InSnTeBr structure. Source: Alexandria, functional GGA-PBE.

The space group is F-43m (No. 216) and the conventional cell measures 7.806, 7.806 and 7.806 Å, with angles of 90.00, 90.00 and 90.00 degrees. The asymmetric unit holds In at (0.000, 0.000, 0.000), Sn at (0.000, 0.000, 0.500), Te at (0.250, 0.250, 0.250) and Br at (0.250, 0.250, 0.750).

As for the uncorrected formation energy: -0.280 eV/atom. The calculation puts the density of states at the Fermi level at 7.1 states/eV/cell. Its total moment is 0.000 μB/cell. The value obtained for the total DFT energy (no corrections) is -3.1686 eV/atom. Its volume is 29.7 Å³ per atom.